No. 1
DFT (PBE) results for a geometry-optimized HgSO2F structure.

The total magnetic moment is 2.578 μB per formula unit. The density of states at the Fermi level comes out at 5.18 states/eV/f.u. Its uncorrected formation energy is 0.66 eV/atom.

a b c (Å): 4.2348 4.2348 4.4205
angles (deg): 90.00 90.00 90.00
Last column: nearest neighbours and their distance in Å.
Space group P4/mmm (No. 123)
Symmetry-distinct sites (fractional):
Hg 0.0000 0.0000 0.0000 [1 per cell]  4 O 2.12, 2 F 2.21
S 0.5000 0.5000 0.5000 [1 per cell]  4 F 2.99, 8 O 3.06
O 0.0000 0.5000 0.0000 [2 per cell]  2 Hg 2.12
F 0.0000 0.0000 0.5000 [1 per cell]  2 Hg 2.21

=====

No. 2
DFT (PBE) results for a geometry-optimized Sr2LiSeO6 structure.

The total magnetic moment is 0.773 μB per formula unit. The density of states at the Fermi level comes out at 6.29 states/eV/f.u. Its uncorrected formation energy is -1.83 eV/atom.

a b c (Å): 7.8358 7.8358 7.8358
angles (deg): 90.00 90.00 90.00
Last column: nearest neighbours and their distance in Å.
Space group Fm-3m (No. 225)
Symmetry-distinct sites (fractional):
Sr 0.2500 0.2500 0.2500 [8 per cell]  12 O 2.77
Li 0.0000 0.0000 0.0000 [4 per cell]  6 O 2.10
Se 0.0000 0.0000 0.5000 [4 per cell]  6 O 1.82
O 0.0000 0.0000 0.2683 [24 per cell]  1 Se 1.82

=====

No. 3
DFT (PBE) results for a geometry-optimized CuAsRh structure.

The calculation puts the energy relative to the elements at -99 meV per atom. The total magnetic moment is 0.000 μB per formula unit. The density of states at the Fermi level comes out at 3.71 states/eV/f.u.

a b c (Å): 5.7430 5.7430 5.7430
angles (deg): 90.00 90.00 90.00
Last column: nearest neighbours and their distance in Å.
Space group F-43m (No. 216)
Symmetry-distinct sites (fractional):
Cu 0.0000 0.0000 0.0000 [4 per cell]  4 As 2.49
As 0.2500 0.2500 0.7500 [4 per cell]  4 Cu 2.49, 4 Rh 2.49
Rh 0.0000 0.0000 0.5000 [4 per cell]  4 As 2.49

=====

No. 4
DFT (PBE) results for a geometry-optimized Ni3WBr structure.

The total magnetic moment is 0.000 μB per formula unit. The density of states at the Fermi level comes out at 7.01 states/eV/f.u. Its uncorrected formation energy is 1.48 eV/atom.

a b c (Å): 4.6152 4.6152 4.6152
angles (deg): 90.00 90.00 90.00
Last column: nearest neighbours and their distance in Å.
Space group Pm-3m (No. 221)
Symmetry-distinct sites (fractional):
Ni 0.0000 0.0000 0.5000 [3 per cell]  2 W 2.31
W 0.0000 0.0000 0.0000 [1 per cell]  6 Ni 2.31
Br 0.5000 0.5000 0.5000 [1 per cell]  12 Ni 3.26

=====

No. 5
DFT (PBE) results for a geometry-optimized La6ZnIn2 structure.

The calculation puts the energy relative to the elements at -223 meV per atom. The total magnetic moment is 0.000 μB per formula unit. The density of states at the Fermi level comes out at 12.25 states/eV/f.u.

a b c (Å): 6.4919 8.8230 11.8633
angles (deg): 90.00 118.58 90.00
Last column: nearest neighbours and their distance in Å.
Space group P2_1/c (No. 14)
Symmetry-distinct sites (fractional):
La 0.0785 0.1590 0.4579 [4 per cell]  1 Zn 3.13, 3 In 3.27-3.40, 1 La 3.30
La 0.3486 0.6926 0.4482 [4 per cell]  1 Zn 3.12, 2 In 3.38-3.43
La 0.4030 0.0404 0.2752 [4 per cell]  1 Zn 3.08, 2 In 3.39-3.41
Zn 0.0000 0.0000 0.0000 [2 per cell]  6 La 3.08-3.13
In 0.1522 0.1182 0.7597 [4 per cell]  8 La 3.27-3.49, 1 Zn 3.59

=====

No. 6
DFT (PBE) results for a geometry-optimized OsAuBr2 structure.

The total magnetic moment is 0.000 μB per formula unit. The density of states at the Fermi level comes out at 3.94 states/eV/f.u. Its uncorrected formation energy is 0.71 eV/atom.

a b c (Å): 2.9498 5.7549 10.3807
angles (deg): 90.00 90.00 90.00
Last column: nearest neighbours and their distance in Å.
Space group Cmm2 (No. 35)
Symmetry-distinct sites (fractional):
Os 0.0000 0.0000 0.0000 [2 per cell]  2 Br 2.49, 2 Au 2.70
Au 0.0000 0.5000 0.7826 [2 per cell]  2 Os 2.70, 2 Br 2.83, 2 Au 2.95
Br 0.0000 0.0000 0.5499 [2 per cell]  2 Au 2.83, 2 Br 2.95
Br 0.0000 0.5000 0.1936 [2 per cell]  2 Os 2.49

=====

No. 7
DFT (PBE) results for a geometry-optimized PaSi4Pt4 structure.

The total magnetic moment is 0.029 μB per formula unit. The density of states at the Fermi level comes out at 4.12 states/eV/f.u. Its uncorrected formation energy is -0.65 eV/atom.

a b c (Å): 6.1724 6.1724 8.0211
angles (deg): 90.00 90.00 90.00
Last column: nearest neighbours and their distance in Å.
Space group P4_2/nmc (No. 137, origin choice 2)
Symmetry-distinct sites (fractional):
Pa 0.2500 0.7500 0.2500 [2 per cell]  4 Pt 3.06
Si 0.0160 0.2500 0.1347 [8 per cell]  5 Pt 2.43-2.53
Pt 0.0330 0.2500 0.4368 [8 per cell]  5 Si 2.43-2.53, 1 Pt 2.68

=====

No. 8
DFT (PBE) results for a geometry-optimized Y8Os structure.

The calculation puts the energy relative to the elements at 50 meV per atom. The total magnetic moment is 0.000 μB per formula unit. The density of states at the Fermi level comes out at 14.32 states/eV/f.u.

a b c (Å): 12.0803 12.0803 3.6805
angles (deg): 90.00 90.00 90.00
Last column: nearest neighbours and their distance in Å.
Space group I4/mmm (No. 139)
Symmetry-distinct sites (fractional):
Y 0.0000 0.3350 0.0000 [8 per cell]  10 Y 3.37-3.68
Y 0.1395 0.1395 0.5000 [8 per cell]  2 Os 3.01, 2 Y 3.37
Os 0.0000 0.0000 0.0000 [2 per cell]  8 Y 3.01